1.
TlSe2 | PBE | optimized geometry

Computed properties:
Total magnetization, μB per formula unit: 0.0
E, eV per atom: -3.232
Formation energy without anion corrections, eV/atom: -0.12

a = 9.9755 Å, b = 4.2114 Å, c = 9.4181 Å
α = 90.00°, β = 98.97°, γ = 90.00°
Space group C2/m (No. 12)
Inequivalent atoms, fractional coordinates:
1 Tl 0.0302 0.0000 0.2575 (multiplicity 4)
2 Se 0.1193 0.5000 0.4922 (multiplicity 4)
3 Se 0.2229 0.5000 0.9326 (multiplicity 4)

2.
TlSe | PBE | optimized geometry

Computed properties:
Total magnetization, μB per formula unit: 0.0
E, eV per atom: -3.146
Formation energy without anion corrections, eV/atom: -0.22

a = 4.5515 Å, b = 11.6598 Å, c = 5.1287 Å
α = 90.00°, β = 90.00°, γ = 90.00°
Space group Cmcm (No. 63)
Inequivalent atoms, fractional coordinates:
1 Tl 0.0000 0.1411 0.2500 (multiplicity 4)
2 Se 0.0000 0.4636 0.2500 (multiplicity 4)

3.
Tl3Se | PBE | optimized geometry

Computed properties:
Total magnetization, μB per formula unit: 0.0
E, eV per atom: -2.856
Formation energy without anion corrections, eV/atom: -0.21

a = 4.9222 Å, b = 4.9222 Å, c = 4.9222 Å
α = 90.00°, β = 90.00°, γ = 90.00°
Space group Pm-3m (No. 221)
Inequivalent atoms, fractional coordinates:
1 Tl 0.0000 0.0000 0.5000 (multiplicity 3)
2 Se 0.5000 0.5000 0.5000 (multiplicity 1)